(1)
Entry from the Open Quantum Materials Database: a relaxed TaSeS crystal (PBE).

Unit cell a=3.402 b=3.402 c=11.936 alpha=102.34 beta=102.34 gamma=60.01
Fractional coordinates of all 3 atoms:
S: 0.320 0.320 0.136
Ta: 0.922 0.922 0.006
Se: 0.180 0.180 0.857

Properties
Crystal system: monoclinic
SG: Cm, No. 8
Offset from the most stable computed form: 6 meV/atom
Size of the total moment: 0.022 μB per formula unit
E_tot: -7.42 eV per atom

(2)
Entry from the Open Quantum Materials Database: a relaxed TaSeS crystal (PBE).

Unit cell a=6.726 b=6.726 c=6.726 alpha=29.27 beta=29.27 gamma=29.27
Fractional coordinates of all 3 atoms:
Se: 0.419 0.419 0.419
Ta: 0.996 0.996 0.996
S: 0.251 0.251 0.251

Properties
Crystal system: trigonal
SG: R3m, No. 160
Offset from the most stable computed form: 8 meV/atom
Size of the total moment: 0.302 μB per formula unit
E_tot: -7.42 eV per atom

(3)
Entry from the Open Quantum Materials Database: a relaxed TaSeS crystal (PBE).

Unit cell a=3.399 b=11.702 c=11.702 alpha=150.66 beta=90.00 gamma=90.00
Fractional coordinates of all 6 atoms:
Se: 0.500 0.177 0.324
Se: 0.500 0.324 0.177
Ta: 0.500 0.596 0.596
Ta: 0.000 0.067 0.067
S: 0.000 0.815 0.677
S: 0.000 0.677 0.815

Properties
Crystal system: orthorhombic
SG: Amm2, No. 38
Offset from the most stable computed form: 1 meV/atom
Size of the total moment: 0.003 μB per formula unit
E_tot: -7.42 eV per atom

(4)
Entry from the Open Quantum Materials Database: a relaxed TaTl3Se3S crystal (PBE).

Unit cell a=6.942 b=6.942 c=6.942 alpha=109.61 beta=109.61 gamma=109.61
Fractional coordinates of all 8 atoms:
Ta: 0.998 0.998 0.998
Tl: 0.993 0.497 0.497
Tl: 0.497 0.993 0.497
Tl: 0.497 0.497 0.993
Se: 0.348 0.999 0.999
Se: 0.999 0.999 0.348
Se: 0.999 0.348 0.999
S: 0.669 0.669 0.669

Properties
Crystal system: trigonal
SG: R3m, No. 160
Size of the total moment: 0.001 μB per formula unit
E_tot: -4.82 eV per atom

(5)
Entry from the Open Quantum Materials Database: a relaxed TaTlSeS crystal (PBE).

Unit cell a=3.439 b=3.439 c=8.706 alpha=90.03 beta=90.03 gamma=60.00
Fractional coordinates of all 4 atoms:
Tl: 0.500 0.500 0.489
S: 0.174 0.174 0.185
Ta: 0.508 0.508 0.011
Se: 0.174 0.174 0.815

Properties
Crystal system: monoclinic
SG: Cm, No. 8
Size of the total moment: 0.002 μB per formula unit
E_tot: -6.22 eV per atom

(6)
Entry from the Open Quantum Materials Database: a relaxed Tb2Se3S crystal (PBE).

Unit cell a=7.253 b=4.201 c=11.183 alpha=90.00 beta=108.92 gamma=90.00
Fractional coordinates of all 6 atoms:
Tb: 0.425 0.000 0.004
Tb: 0.916 0.500 0.004
Se: 0.326 0.500 0.148
Se: 0.679 0.000 0.852
Se: 0.182 0.500 0.861
S: 0.818 0.000 0.130

Properties
Crystal system: monoclinic
SG: Pm, No. 6
Size of the total moment: 1.999 μB per formula unit
E_tot: -5.23 eV per atom

(7)
Entry from the Open Quantum Materials Database: a relaxed Tb3Se2S crystal (PBE).

Unit cell a=4.030 b=4.030 c=9.929 alpha=90.00 beta=90.00 gamma=120.00
Fractional coordinates of all 6 atoms:
Tb: 0.000 0.000 0.500
Tb: 0.667 0.333 0.153
Tb: 0.333 0.667 0.847
Se: 0.667 0.333 0.672
Se: 0.333 0.667 0.328
S: 0.000 0.000 0.000

Properties
Crystal system: trigonal
SG: P-3m1, No. 164
Size of the total moment: 0.002 μB per formula unit
E_tot: -6.01 eV per atom

(8)
Entry from the Open Quantum Materials Database: a relaxed Tb2SeS3 crystal (PBE).

Unit cell a=10.225 b=10.225 c=7.119 alpha=90.02 beta=90.02 gamma=23.17
Fractional coordinates of all 6 atoms:
Tb: 0.002 0.002 0.922
Tb: 0.502 0.502 0.415
Se: 0.422 0.422 0.752
S: 0.568 0.568 0.751
S: 0.073 0.073 0.252
S: 0.932 0.932 0.251

Properties
Crystal system: monoclinic
SG: Cm, No. 8
Offset from the most stable computed form: 0 meV/atom
Size of the total moment: 2.004 μB per formula unit
E_tot: -5.48 eV per atom

Question: Which of these has the highest E_tot?
Answer: TaTl3Se3S

Question: Number 1 is which compound?
Answer: TaSeS

Question: Look up the size of the total moment of the second one.
Answer: 0.302 μB per formula unit